Run a
Density functional theory data (PBE) for crystalline Pu2AgPd6 at its relaxed geometry.

abc: 2.8727 8.0476 8.0801
angles: 119.95 90.00 90.00
Closest atoms and distances in Å follow each position.
Fractional positions:
Pd  0.0000  0.3076  0.0002  2 Pu 2.80-2.81, 2 Ag 2.86, 8 Pd 2.87-3.10
Pd  0.5000  0.0001  0.6518  1 Ag 2.81, 8 Pd 2.87-3.15, 4 Pu 2.99
Pd  0.0000  0.9998  0.3051  2 Pu 2.80-2.81, 2 Ag 2.85, 6 Pd 2.87-3.03
Pd  0.0000  0.6939  0.6942  2 Pu 2.80-2.81, 2 Ag 2.86, 8 Pd 2.87-3.13
Pd  0.5000  0.6492  0.9999  1 Ag 2.82, 8 Pd 2.87-3.10, 4 Pu 3.00
Pd  0.5000  0.3491  0.3489  1 Ag 2.82, 8 Pd 2.87-3.13, 4 Pu 2.99-3.00
Pu  0.0000  0.3327  0.6657  9 Pd 2.80-3.00, 2 Pu 2.87
Pu  0.0000  0.6675  0.3342  9 Pd 2.80-3.00, 2 Pu 2.87
Ag  0.5000  0.0001  0.0000  9 Pd 2.81-2.86, 2 Ag 2.87

## Properties
Magnetic moment in Bohr magnetons per cell: 10.7
Fermi-level density of states in states/eV per atom: 1.89



Run b
Density functional theory data (PBE) for crystalline Pu2AgPd6 at its relaxed geometry.

abc: 6.1179 5.7026 5.7026
angles: 60.01 89.94 89.94
Closest atoms and distances in Å follow each position.
Fractional positions:
Pd  0.6737  0.1755  0.6491  1 Ag 2.64, 4 Pd 2.70-2.74
Pd  0.6737  0.6491  0.1755  1 Ag 2.64, 4 Pd 2.70-2.74
Pd  0.6728  0.1755  0.1755  1 Ag 2.65, 4 Pd 2.70-2.74
Pd  0.3263  0.8245  0.3509  1 Ag 2.64, 4 Pd 2.70-2.74
Pd  0.3263  0.3509  0.8245  1 Ag 2.64, 4 Pd 2.70-2.74
Pd  0.3272  0.8245  0.8245  1 Ag 2.65, 4 Pd 2.70-2.74
Pu  0.8198  0.6669  0.6669  6 Pd 2.99
Pu  0.1802  0.3331  0.3331  6 Pd 2.99
Ag  0.0000  0.0000  0.0000  6 Pd 2.64-2.65

## Properties
Magnetic moment in Bohr magnetons per cell: 10.0
Fermi-level density of states in states/eV per atom: 3.35



Result of the stability comparison: run a is the least stable of them.



Run a
Density functional theory data (PBE) for crystalline Pu2Ag2Pd at its relaxed geometry.

abc: 8.5052 8.5052 6.2800
angles: 46.56 46.56 20.33
Closest atoms and distances in Å follow each position.
Fractional positions:
Ag  0.5835  0.5835  0.5055  2 Pd 2.79, 3 Ag 2.84-3.00
Ag  0.4165  0.4165  0.4945  2 Pd 2.79, 3 Ag 2.84-3.00
Pu  0.6875  0.6875  0.8526  2 Pd 2.98, 2 Pu 3.00, 3 Ag 3.14-3.16
Pu  0.3125  0.3125  0.1474  2 Pd 2.98, 2 Pu 3.00, 3 Ag 3.14-3.16
Pd  0.0000  0.0000  0.0000  4 Ag 2.79, 4 Pu 2.98, 2 Pd 3.00

## Properties
Magnetic moment in Bohr magnetons per cell: 12.5
Fermi-level density of states in states/eV per atom: 3.39



Run b
Density functional theory data (PBE) for crystalline Pu2Ag2Pd at its relaxed geometry.

abc: 4.6159 4.6159 11.8754
angles: 101.21 101.21 90.00
Closest atoms and distances in Å follow each position.
Fractional positions:
Ag  0.0791  0.5791  0.1582  2 Pd 2.93, 2 Ag 3.12, 6 Pu 3.25-3.27
Ag  0.4209  0.9209  0.8418  2 Pd 2.93, 2 Ag 3.12, 6 Pu 3.25-3.27
Ag  0.3291  0.3291  0.6582  2 Pd 2.93, 2 Ag 3.12, 6 Pu 3.25-3.27
Ag  0.6709  0.6709  0.3418  2 Pd 2.93, 2 Ag 3.12, 6 Pu 3.25-3.27
Pu  0.5706  0.0706  0.1412  2 Pd 2.82
Pu  0.8206  0.8206  0.6412  2 Pd 2.82
Pu  0.1794  0.1794  0.3588  2 Pd 2.82
Pu  0.9294  0.4294  0.8588  2 Pd 2.82
Pd  0.2500  0.7500  0.5000  4 Pu 2.82, 4 Ag 2.93
Pd  0.5000  0.5000  0.0000  4 Pu 2.82, 4 Ag 2.93

## Properties
Magnetic moment in Bohr magnetons per cell: 23.5
Fermi-level density of states in states/eV per atom: 4.55



Result of the stability comparison: run b is the least stable of them.



Run a
Density functional theory data (PBE) for crystalline Pu3AgPd3 at its relaxed geometry.

abc: 4.4139 5.6089 13.7623
angles: 90.00 90.00 113.17
Closest atoms and distances in Å follow each position.
Fractional positions:
Pu  0.5385  0.0770  0.2500  5 Pd 2.85-3.10
Pu  0.1933  0.3866  0.6038  6 Pd 2.95-3.10, 2 Ag 3.30
Pu  0.4615  0.9230  0.7500  5 Pd 2.85-3.10
Pu  0.8067  0.6134  0.3962  6 Pd 2.95-3.10, 2 Ag 3.30
Pu  0.8067  0.6134  0.1038  6 Pd 2.95-3.10, 2 Ag 3.30
Pu  0.1933  0.3866  0.8962  6 Pd 2.95-3.10, 2 Ag 3.30
Pd  0.0954  0.1909  0.4026  1 Pd 2.71, 2 Ag 2.76, 2 Pu 2.95-2.98
Pd  0.9046  0.8091  0.9026  1 Pd 2.71, 2 Ag 2.76, 2 Pu 2.95-2.98
Pd  0.9046  0.8091  0.5974  1 Pd 2.71, 2 Ag 2.76, 2 Pu 2.95-2.98
Pd  0.0954  0.1909  0.0974  1 Pd 2.71, 2 Ag 2.76, 2 Pu 2.95-2.98
Pd  0.2622  0.5245  0.2500  2 Pd 2.71, 5 Pu 2.85-3.02
Pd  0.7378  0.4755  0.7500  2 Pd 2.71, 5 Pu 2.85-3.02
Ag  0.5000  0.0000  0.0000  4 Pd 2.76
Ag  0.5000  0.0000  0.5000  4 Pd 2.76

## Properties
Magnetic moment in Bohr magnetons per cell: 34.2
Fermi-level density of states in states/eV per atom: 4.68



Run b
Density functional theory data (PBE) for crystalline Pu3AgPd3 at its relaxed geometry.

abc: 4.1641 9.7541 8.2077
angles: 126.45 90.00 90.00
Closest atoms and distances in Å follow each position.
Fractional positions:
Pu  0.2500  0.0676  0.5978  3 Pu 2.45-2.48
Pu  0.7500  0.9324  0.4022  3 Pu 2.45-2.48
Pu  0.7500  0.4698  0.4023  3 Pu 2.45-2.48
Pu  0.2500  0.2266  0.4531  2 Pu 2.45
Pu  0.7500  0.7734  0.5469  2 Pu 2.45
Pu  0.2500  0.5302  0.5977  3 Pu 2.45-2.48
Ag  0.7500  0.4184  0.8370  2 Pd 2.82, 2 Ag 2.99
Ag  0.2500  0.5816  0.1630  2 Pd 2.82, 2 Ag 2.99
Pd  0.7500  0.0776  0.1552  8 Pd 2.81-2.94, 4 Pu 2.86-3.09
Pd  0.7500  0.1455  0.8674  5 Pd 2.72-2.94, 3 Pu 2.79-2.96, 1 Ag 2.82
Pd  0.7500  0.7217  0.8675  5 Pd 2.72-2.94, 3 Pu 2.79-2.96, 1 Ag 2.82
Pd  0.2500  0.8545  0.1326  5 Pd 2.72-2.94, 3 Pu 2.79-2.96, 1 Ag 2.82
Pd  0.2500  0.2783  0.1325  5 Pd 2.72-2.94, 3 Pu 2.79-2.96, 1 Ag 2.82
Pd  0.2500  0.9224  0.8448  8 Pd 2.81-2.94, 4 Pu 2.86-3.09

## Properties
Magnetic moment in Bohr magnetons per cell: 0.2
Fermi-level density of states in states/eV per atom: 2.00



Result of the stability comparison: run b is the least stable of them.



Run a
Density functional theory data (PBE) for crystalline RbAg3Pd at its relaxed geometry.

abc: 5.3557 6.8063 7.3189
angles: 117.71 90.00 90.00
Closest atoms and distances in Å follow each position.
Fractional positions:
Pd  0.0000  0.0000  0.0000  2 Pd 2.68, 6 Ag 2.80-2.86
Pd  0.5000  0.0000  0.0000  2 Pd 2.68, 6 Ag 2.80-2.86
Ag  0.7500  0.1896  0.3792  6 Ag 2.78-3.03, 2 Pd 2.80
Ag  0.2500  0.3663  0.3263  4 Ag 2.77-3.03, 2 Pd 2.86
Ag  0.2500  0.9600  0.3263  4 Ag 2.77-3.03, 2 Pd 2.86
Ag  0.7500  0.6337  0.6737  4 Ag 2.77-3.03, 2 Pd 2.86
Ag  0.2500  0.8104  0.6208  6 Ag 2.78-3.03, 2 Pd 2.80
Ag  0.7500  0.0400  0.6737  4 Ag 2.77-3.03, 2 Pd 2.86
Rb  0.2500  0.4129  0.8258  10 Ag 3.50-3.82, 2 Rb 3.50, 4 Pd 3.83
Rb  0.7500  0.5871  0.1742  10 Ag 3.50-3.82, 2 Rb 3.50, 4 Pd 3.83

## Properties
Magnetic moment in Bohr magnetons per cell: 0.0
Fermi-level density of states in states/eV per atom: 0.32



Run b
Density functional theory data (PBE) for crystalline RbAg3Pd at its relaxed geometry.

abc: 5.2568 5.2568 5.2568
angles: 90.00 90.00 90.00
Closest atoms and distances in Å follow each position.
Fractional positions:
Ag  0.0000  0.5000  0.0000  2 Pd 2.63
Ag  0.5000  0.0000  0.0000  2 Pd 2.63
Ag  0.0000  0.0000  0.5000  2 Pd 2.63
Pd  0.0000  0.0000  0.0000  6 Ag 2.63
Rb  0.5000  0.5000  0.5000  12 Ag 3.72

## Properties
Magnetic moment in Bohr magnetons per cell: 0.0
Fermi-level density of states in states/eV per atom: 0.41



Result of the stability comparison: run b is the least stable of them.



Run a
Density functional theory data (PBE) for crystalline RbAgPd2 at its relaxed geometry.

abc: 4.9616 4.9616 10.1190
angles: 75.81 75.81 90.00
Closest atoms and distances in Å follow each position.
Fractional positions:
Pd  0.3750  0.2056  0.7500  2 Pd 2.61, 2 Ag 2.71
Pd  0.8750  0.0444  0.7500  2 Pd 2.61, 2 Ag 2.71
Pd  0.9556  0.6250  0.2500  2 Pd 2.61, 2 Ag 2.71
Pd  0.7944  0.1250  0.2500  2 Pd 2.61, 2 Ag 2.71
Rb  0.5000  0.5000  0.0000  4 Pd 3.39, 4 Ag 3.51
Rb  0.2500  0.7500  0.5000  4 Pd 3.39, 4 Ag 3.51
Ag  0.7500  0.2500  0.5000  4 Pd 2.71
Ag  0.0000  0.0000  0.0000  4 Pd 2.71

## Properties
Magnetic moment in Bohr magnetons per cell: 0.0
Fermi-level density of states in states/eV per atom: 0.67



Run b
Density functional theory data (PBE) for crystalline RbAgPd2 at its relaxed geometry.

abc: 4.9223 4.9223 4.9223
angles: 60.00 60.00 60.00
Closest atoms and distances in Å follow each position.
Fractional positions:
Pd  0.2500  0.2500  0.2500  4 Ag 3.01, 4 Rb 3.01
Pd  0.7500  0.7500  0.7500  4 Ag 3.01, 4 Rb 3.01
Ag  0.5000  0.5000  0.5000  8 Pd 3.01
Rb  0.0000  0.0000  0.0000  8 Pd 3.01

## Properties
Magnetic moment in Bohr magnetons per cell: 0.0
Fermi-level density of states in states/eV per atom: 0.25



Result of the stability comparison: run b is the least stable of them.



Run a
Density functional theory data (PBE) for crystalline RbAgPdSe2 at its relaxed geometry.

abc: 5.8217 6.2703 7.9644
angles: 113.18 90.00 90.00
Closest atoms and distances in Å follow each position.
Fractional positions:
Se  0.3189  0.3828  0.7656  1 Ag 2.53, 2 Pd 2.55
Se  0.3189  0.1172  0.2344  1 Ag 2.53, 2 Pd 2.55
Se  0.6811  0.6172  0.2344  1 Ag 2.53, 2 Pd 2.55
Se  0.6811  0.8828  0.7656  1 Ag 2.53, 2 Pd 2.55
Ag  0.0000  0.0000  0.0000  2 Se 2.53
Ag  0.0000  0.5000  0.0000  2 Se 2.53
Rb  0.2139  0.7500  0.5000  8 Se 3.34-3.74
Rb  0.7861  0.2500  0.5000  8 Se 3.34-3.74
Pd  0.5000  0.2500  0.0000  4 Se 2.55
Pd  0.5000  0.7500  0.0000  4 Se 2.55

## Properties
Magnetic moment in Bohr magnetons per cell: 0.0
Fermi-level density of states in states/eV per atom: 0.45



Run b
Density functional theory data (PBE) for crystalline RbAgPdSe2 at its relaxed geometry.

abc: 5.8472 5.5446 5.8472
angles: 90.00 90.00 90.00
Closest atoms and distances in Å follow each position.
Fractional positions:
Pd  0.5000  0.5000  0.5000  8 Se 4.03, 4 Ag 4.13
Se  0.0000  0.0000  0.5000  2 Rb 2.92
Se  0.5000  0.0000  0.0000  2 Rb 2.92
Rb  0.0000  0.0000  0.0000  2 Ag 2.77, 4 Se 2.92
Ag  0.0000  0.5000  0.0000  2 Rb 2.77

## Properties
Magnetic moment in Bohr magnetons per cell: 0.0
Fermi-level density of states in states/eV per atom: 0.91



Result of the stability comparison: run b is the least stable of them.